a) VASP calculation (PBE-GGA) on a geometry-optimized ZrHg4 structure.

The size of the total moment is 0.00 μB per cell. Its calculated volume is 22.8 Å³/atom.

Cell: 5.506 5.506 5.506 Å, 99.70 99.70 131.52°
Fractional coordinates of all 5 atoms:
Zr: 0.000 0.000 0.000
Hg: 0.204 0.600 0.804
Hg: 0.400 0.204 0.603
Hg: 0.796 0.400 0.196
Hg: 0.600 0.796 0.397

***

b) VASP calculation (PBE-GGA) on a geometry-optimized ZrHg4 structure.

The size of the total moment is 0.00 μB per cell. Its calculated volume is 25.3 Å³/atom.

Cell: 8.726 8.726 8.726 Å, 154.13 154.13 36.91°
Fractional coordinates of all 5 atoms:
Hg: 0.250 0.750 0.500
Hg: 0.593 0.593 0.000
Hg: 0.750 0.250 0.500
Hg: 0.407 0.407 0.000
Zr: 0.000 0.000 0.000

***

c) VASP calculation (PBE-GGA) on a geometry-optimized ZrHg4 structure.

The size of the total moment is 0.00 μB per cell. Its calculated volume is 23.0 Å³/atom.

Cell: 3.332 3.332 10.633 Å, 99.02 99.02 90.00°
Fractional coordinates of all 5 atoms:
Zr: 0.000 0.000 0.000
Hg: 0.595 0.595 0.190
Hg: 0.802 0.802 0.604
Hg: 0.405 0.405 0.810
Hg: 0.198 0.198 0.396

***

Tell me which of them is the least stable. Sure, it is b).

***

a) VASP calculation (PBE-GGA) on a geometry-optimized La2HoI structure.

The size of the total moment is 0.00 μB per cell. Its calculated volume is 34.6 Å³/atom.

Cell: 3.756 3.756 9.806 Å, 90.00 90.00 90.00°
Fractional coordinates of all 4 atoms:
Ho: 0.500 0.500 0.000
I: 0.500 0.500 0.500
La: 0.000 0.000 0.742
La: 0.000 0.000 0.258

***

b) VASP calculation (PBE-GGA) on a geometry-optimized La2HoI structure.

The size of the total moment is 0.75 μB per cell. Its calculated volume is 35.2 Å³/atom.

Cell: 3.864 3.864 11.123 Å, 80.00 80.00 60.00°
Each line ends with the local moment (μB).
Fractional coordinates of all 4 atoms:
Ho: 0.500 0.500 0.500  0.25
La: 0.254 0.254 0.239  0.07
La: 0.080 0.080 0.761  0.09
I: 0.666 0.666 0.001  0.00

***

Tell me which of them is the least stable. Sure, it is a).

***

a) VASP calculation (PBE-GGA) on a geometry-optimized LaHoI structure.

The size of the total moment is 0.06 μB per cell. Its calculated volume is 34.4 Å³/atom.

Cell: 5.616 3.778 9.924 Å, 79.03 90.00 90.00°
Fractional coordinates of all 6 atoms:
I: 0.250 0.309 0.381
I: 0.750 0.691 0.619
Ho: 0.250 0.470 0.060
Ho: 0.750 0.530 0.940
La: 0.250 0.132 0.736
La: 0.750 0.868 0.264

***

b) VASP calculation (PBE-GGA) on a geometry-optimized LaHoI structure.

The size of the total moment is 0.00 μB per cell. Its calculated volume is 32.9 Å³/atom.

Cell: 3.859 5.437 5.437 Å, 120.00 90.00 90.00°
Fractional coordinates of all 3 atoms:
I: 0.501 0.333 0.667
La: 0.999 0.000 0.000
Ho: 0.500 0.667 0.333

***

Tell me which of them is the least stable. Sure, it is b).

***

a) VASP calculation (PBE-GGA) on a geometry-optimized Nd2HoI structure.

The size of the total moment is 0.00 μB per cell. Its calculated volume is 33.3 Å³/atom.

Cell: 3.704 3.704 9.704 Å, 90.00 90.00 90.00°
Fractional coordinates of all 4 atoms:
I: 0.500 0.500 0.500
Nd: 0.000 0.000 0.743
Nd: 0.000 0.000 0.257
Ho: 0.500 0.500 0.000

***

b) VASP calculation (PBE-GGA) on a geometry-optimized Nd2HoI structure.

The size of the total moment is 0.43 μB per cell. Its calculated volume is 34.2 Å³/atom.

Cell: 3.656 3.656 12.012 Å, 81.25 81.25 60.00°
Each line ends with the local moment (μB).
Fractional coordinates of all 4 atoms:
I: 0.500 0.500 0.500  0.00
Nd: 0.906 0.906 0.283  0.05
Nd: 0.094 0.094 0.717  0.05
Ho: 0.000 0.000 0.000  0.18

***

Tell me which of them is the least stable. Sure, it is b).